1.
Here is a relaxed structure of Ca2HRh from Alexandria via LeMat-Bulk. Energies are from PBE.

```
8
Lattice="-3.326 3.326 3.597 3.326 -3.326 3.597 3.326 3.326 -3.597" Properties=species:S:1:pos:R:3 pbc="T T T"
Ca 4.989 1.245 -0.899
Ca 1.245 1.663 0.899
Ca -1.663 2.081 2.697
Ca 2.081 1.663 4.496
H 0.000 0.000 0.000
H 0.000 3.326 1.798
Rh 3.326 0.000 1.798
Rh 0.000 0.000 3.597
```

## Properties
V = 19.894 A^3/atom
Total magnetic moment = 0.000 μB per atom
Crystal system = tetragonal
Symmetry = I-42d (122)
Energy relative to the lowest polymorph listed for this composition = 0.1047 eV/atom

---

2.
Here is a relaxed structure of La2NdSn from Alexandria via LeMat-Bulk. Energies are from PBE.

```
4
Lattice="0.000 4.006 4.006 4.006 0.000 4.006 4.006 4.006 0.000" Properties=species:S:1:pos:R:3 pbc="T T T"
La 2.003 2.003 2.003
La 6.009 6.009 6.009
Nd 0.000 0.000 0.000
Sn 4.006 4.006 4.006
```

## Properties
V = 32.152 A^3/atom
Total magnetic moment = 0.000 μB per atom
Crystal system = cubic
Symmetry = Fm-3m (225)
Energy of formation from the pure elements = -277 meV per atom
Energy relative to the lowest polymorph listed for this composition = 0.2013 eV/atom

---

3.
Here is a relaxed structure of Sc3MnZn from Alexandria via LeMat-Bulk. Energies are from PBE.

```
5
Lattice="4.808 0.000 0.000 0.000 4.808 0.000 0.000 0.000 4.808" Properties=species:S:1:pos:R:3 pbc="T T T"
Sc 0.000 0.000 2.404
Sc 0.000 2.404 0.000
Sc 2.404 0.000 0.000
Mn 0.000 0.000 0.000
Zn 2.404 2.404 2.404
```

## Properties
V = 22.223 A^3/atom
Total magnetic moment = 0.079 μB per atom
Crystal system = cubic
Symmetry = Pm-3m (221)
Energy of formation from the pure elements = 229 meV per atom
Energy relative to the lowest polymorph listed for this composition = 0.0000 eV/atom

---

4.
Here is a relaxed structure of TaInFe2 from Alexandria via LeMat-Bulk. Energies are from PBE.

```
4
Lattice="1.510 0.872 8.131 -1.510 0.872 8.131 0.000 -1.743 8.131" Properties=species:S:1:pos:R:3 pbc="T T T"
Ta 0.000 0.000 0.000
In 0.000 0.000 12.196
Fe 0.000 0.000 6.241
Fe 0.000 0.000 18.150
```

## Properties
V = 16.045 A^3/atom
Total magnetic moment = 0.711 μB per atom
Crystal system = trigonal
Symmetry = R-3m (166)
Energy of formation from the pure elements = 318 meV per atom

---

5.
Here is a relaxed structure of AcIn12Hg6 from Alexandria via LeMat-Bulk. Energies are from PBE.

```
19
Lattice="6.949 4.012 3.245 -6.949 4.012 3.245 0.000 -8.024 3.245" Properties=species:S:1:pos:R:3 pbc="T T T"
Ac 0.000 0.000 0.000
In -2.713 -4.699 4.867
In -5.426 0.000 4.867
In -1.653 -0.954 3.058
In 1.653 -0.954 3.058
In 0.000 1.908 3.058
In 2.713 -4.699 4.867
In -2.713 4.699 4.867
In 0.000 -1.908 6.677
In -1.653 0.954 6.677
In 1.653 0.954 6.677
In 5.426 0.000 4.867
In 2.713 4.699 4.867
Hg -3.139 -1.812 5.462
Hg 0.000 -3.624 4.273
Hg -3.139 1.812 4.273
Hg 3.139 -1.812 5.462
Hg 0.000 3.624 5.462
Hg 3.139 1.812 4.273
```

## Properties
V = 28.570 A^3/atom
Total magnetic moment = 0.000 μB per atom
Crystal system = trigonal
Symmetry = R-3m (166)
Energy of formation from the pure elements = 17 meV per atom
Energy relative to the lowest polymorph listed for this composition = 0.0426 eV/atom

---

6.
Here is a relaxed structure of La2HoPuN4 from Alexandria via LeMat-Bulk. Energies are from PBE.

```
8
Lattice="6.163 0.000 0.000 0.000 3.586 0.000 -2.041 0.000 5.919" Properties=species:S:1:pos:R:3 pbc="T T T"
La 0.000 0.000 0.000
La 3.081 1.793 0.000
Ho -1.020 1.793 2.959
Pu 2.061 0.000 2.959
N 0.055 0.000 4.290
N 1.063 1.793 1.666
N 3.059 1.793 4.252
N 4.067 0.000 1.628
```

## Properties
V = 16.349 A^3/atom
Total magnetic moment = 0.567 μB per atom
Crystal system = monoclinic
Symmetry = P2/m (10)
Raw formation energy = -1.381 eV per atom

---

7.
Here is a relaxed structure of BaZrSnC2 from Alexandria via LeMat-Bulk. Energies are from PBE.

```
5
Lattice="4.612 0.000 0.000 0.000 4.612 0.000 0.000 0.000 6.000" Properties=species:S:1:pos:R:3 pbc="T T T"
Ba 0.000 0.000 0.000
Zr 0.000 0.000 3.000
Sn 2.306 2.306 3.000
C 0.000 2.306 0.000
C 2.306 0.000 0.000
```

## Properties
V = 25.519 A^3/atom
Total magnetic moment = 0.000 μB per atom
Crystal system = tetragonal
Symmetry = P4/mmm (123)
Energy of formation from the pure elements = 2700 meV per atom

---

8.
Here is a relaxed structure of Nd8Pd5Rh from Alexandria via LeMat-Bulk. Energies are from PBE.

```
14
Lattice="-4.505 4.505 4.543 4.505 -4.505 4.543 4.505 4.505 -4.543" Properties=species:S:1:pos:R:3 pbc="T T T"
Nd 2.804 -0.521 0.570
Nd 3.980 2.724 -1.688
Nd 6.207 0.521 0.570
Nd 5.026 -1.701 3.973
Nd 0.526 1.782 2.855
Nd 3.984 1.701 3.973
Nd 1.782 -0.526 6.231
Nd 2.724 5.031 1.688
Pd 0.000 0.000 0.000
Pd 2.252 -1.107 3.390
Pd 3.399 2.253 1.153
Pd 2.253 5.612 -1.153
Pd 1.107 2.252 5.695
Rh 0.000 4.505 2.271
```

## Properties
V = 26.346 A^3/atom
Total magnetic moment = 0.000 μB per atom
Crystal system = tetragonal
Symmetry = I-4 (82)
Energy of formation from the pure elements = -645 meV per atom